Crystalline VRePt at its relaxed geometry. Source: Alexandria, functional PBE-GGA.

Its volume is 88 Å³ per cell. The calculation puts the formation energy at -0.2397 eV/atom. The density is 16245 kg/m3.

The structure belongs to space group P-1 (No. 2); the cell edges are 2.7039, 5.3808 and 6.4024 Å and the angles 75.05°, 79.07° and 86.82°. Symmetry generates all atoms from V at (0.1072, 0.0985, 0.1727), Re at (0.1466, 0.6105, 0.1581) and Pt at (0.4970, 0.7509, 0.4960).